This record from Alexandria via LeMat-Bulk describes crystalline Na2Pb7 at its relaxed geometry. The functional is GGA-PBE.

Cell and atoms, written as POSCAR:
```
Na2Pb7
1.0
3.344 1.930 16.247
-3.344 1.930 16.247
0.000 -3.861 16.247
Na Pb
4 14
Direct
0.040 0.040 0.040
0.147 0.147 0.147
0.853 0.853 0.853
0.960 0.960 0.960
0.000 0.500 0.500
0.108 0.617 0.617
0.276 0.276 0.276
0.383 0.383 0.892
0.383 0.892 0.383
0.392 0.392 0.392
0.500 0.000 0.500
0.500 0.500 0.000
0.500 0.500 0.500
0.608 0.608 0.608
0.617 0.108 0.617
0.617 0.617 0.108
0.724 0.724 0.724
0.892 0.383 0.383
```

* space group: No. 166
* energy of formation from the pure elements: -6 meV per atom
* polymorph energy (0 for the lowest one): 6.1 kJ/mol of atoms
* final energy: -28.7 eV/f.u.

This record from Alexandria via LeMat-Bulk describes crystalline NaPb at its relaxed geometry. The functional is GGA-PBE.

Cell and atoms, written as POSCAR:
```
NaPb
1.0
0.000 3.180 3.180
3.180 0.000 3.180
3.180 3.180 0.000
Na Pb
1 1
Direct
0.000 0.000 0.000
0.500 0.500 0.500
```

* space group: No. 225
* energy of formation from the pure elements: 203 meV per atom
* final energy: -4.6 eV/f.u.